VASP calculation (PBE-GGA) on a geometry-optimized ZrRe2Mo structure.

mass density: 14.08 g/cm³
energy of formation: -0.01 eV per atom
ΔE to the lowest computed polymorph: 2.37 kcal/mol of atoms

```
data_ZrRe2Mo
_space_group_name_H-M_alt 'C 1 2/m 1'
_space_group_IT_number 12
_cell_length_a 5.5390
_cell_length_b 9.0677
_cell_length_c 2.7913
_cell_angle_alpha 90.00
_cell_angle_beta 109.73
_cell_angle_gamma 90.00
loop_
_space_group_symop_operation_xyz
'x,y,z'
'-x,-y,-z'
'-x,y,-z'
'x,-y,z'
'x+1/2,y+1/2,z'
'-x+1/2,-y+1/2,-z'
'-x+1/2,y+1/2,-z'
'x+1/2,-y+1/2,z'
loop_
_atom_site_label
_atom_site_fract_x
_atom_site_fract_y
_atom_site_fract_z
_atom_site_occupancy
Zr1 0.0000 0.0000 0.0000 1
Re1 0.2500 0.2500 0.5000 1
Mo1 0.0000 0.5000 0.0000 1
```